(1)
The following is a PBE calculation of CaPaIr2 after structural relaxation, from Alexandria via LeMat-Bulk.

abc: 4.7476 6.1165 7.1248
angles: 126.16 90.00 90.00
Sites, in units of the cell vectors:
Ca (0.2500, 0.2097, 0.0949)
Ca (0.7500, 0.7903, 0.9051)
Pa (0.7500, 0.7277, 0.3718)
Pa (0.2500, 0.2723, 0.6282)
Ir (0.2500, 0.7571, 0.1837)
Ir (0.7500, 0.2429, 0.8163)
Ir (0.7500, 0.2883, 0.4213)
Ir (0.2500, 0.7117, 0.5787)

Calculated formation energy ... -2.565 eV per formula unit
Energy above the most stable polymorph in this dataset ... 22.3 meV per atom



(2)
The following is a PBE calculation of CaMg2Tc after structural relaxation, from Alexandria via LeMat-Bulk.

abc: 3.4411 3.4411 7.4045
angles: 90.00 90.00 90.00
Site moments in Bohr magnetons follow the coordinates.
Sites, in units of the cell vectors:
Ca (0.5000, 0.5000, 0.7500)  -0.02
Mg (0.0000, 0.0000, 0.0594)  -0.01
Mg (0.0000, 0.0000, 0.4406)  -0.01
Tc (0.5000, 0.5000, 0.2500)  1.22

Calculated formation energy ... 1.151 eV per formula unit
Energy above the most stable polymorph in this dataset ... 0.0 meV per atom



(3)
The following is a PBE calculation of PaTcI2O6 after structural relaxation, from Alexandria via LeMat-Bulk.

abc: 6.2160 5.7197 6.2340
angles: 62.71 53.90 89.98
Sites, in units of the cell vectors:
Pa (0.0000, 0.0000, 0.0000)
Tc (0.5000, 0.5000, 0.0000)
I (0.7369, 0.2579, 0.4836)
I (0.2631, 0.7421, 0.5164)
O (0.2532, 0.2675, 0.4647)
O (0.7302, 0.7413, 0.9889)
O (0.2701, 0.7304, 0.0113)
O (0.7299, 0.2696, 0.9887)
O (0.2698, 0.2587, 0.0111)
O (0.7468, 0.7325, 0.5353)

Uncorrected formation energy ... -1352 meV/atom